## KSrRh2 (PBE)

Data for KSrRh2 after structural relaxation.

The space group is P2/m (No. 10) and the conventional cell measures 3.083, 4.676 and 7.254 Å, with angles of 90.00, 90.51 and 90.00 degrees. Symmetry generates all atoms from K at (0.000, 0.000, 0.000), Sr at (0.000, 0.000, 0.500) and Rh at (0.497, 0.500, 0.325).

The value obtained for the final energy is -3.978 eV per atom. As for the magnetic moment: 0.00 μB/cell. Its density of states at the Fermi level is 3.1 states/eV/cell. The formation enthalpy at 0 K is 9.04 kcal/mol of atoms.